1.
Below is Np2InBi4 after structural relaxation, with properties calculated at the PBE level.

Summary:
DOS(E_F) in states/eV per atom: 3.270
Symmetry: P-4m2
Raw total energy in eV for the cell shown: -43.7
Formation energy from the elements in eV per atom: 0.066
Excess energy over the best structure of this formula in the dataset in meV per atom: 37
Crystal system: tetragonal

Lattice parameters (Å, degrees): 4.569 4.569 10.376 90.00 90.00 90.00
Last column: magnetic moment on the atom in μB.
Positions (direct):
Np 0.500 0.000 0.743  -4.06
Bi 0.000 0.500 0.806  0.07
Bi 0.500 0.000 0.194  0.07
Np 0.000 0.500 0.257  -4.06
In 0.500 0.500 0.000  -0.02
Bi 0.000 0.000 0.500  0.08
Bi 0.500 0.500 0.500  0.05

2.
Below is AcCoSn3 after structural relaxation, with properties calculated at the PBE level.

Summary:
DOS(E_F) in states/eV per atom: 1.059
Symmetry: Pm-3m
Raw total energy in eV for the cell shown: -24.1
Formation energy from the elements in eV per atom: -0.179
Excess energy over the best structure of this formula in the dataset in meV per atom: 276
Crystal system: cubic

Lattice parameters (Å, degrees): 5.082 5.082 5.082 90.00 90.00 90.00
Last column: magnetic moment on the atom in μB.
Positions (direct):
Sn 0.000 0.000 0.500  0.02
Sn 0.500 0.000 0.000  0.02
Co 0.000 0.000 0.000  0.56
Ac 0.500 0.500 0.500  0.03
Sn 0.000 0.500 0.000  0.02

3.
Below is MnReAsSe2 after structural relaxation, with properties calculated at the PBE level.

Summary:
Formation energy without anion corrections in eV per atom: 1.195
DOS(E_F) in states/eV per atom: 1.399
Symmetry: P4/mmm
Raw total energy in eV for the cell shown: -27.3
Excess energy over the best structure of this formula in the dataset in meV per atom: 0
Crystal system: tetragonal

Lattice parameters (Å, degrees): 4.599 4.599 4.510 90.00 90.00 90.00
Last column: magnetic moment on the atom in μB.
Positions (direct):
Re 0.500 0.500 0.500  2.17
Se 0.500 0.000 0.000  -0.12
Se 0.000 0.500 0.000  -0.12
Mn 0.000 0.000 0.000  0.48
As 0.000 0.000 0.500  -0.13

4.
Below is Ac2SmUN5 after structural relaxation, with properties calculated at the PBE level.

Summary:
Formation energy without anion corrections in eV per atom: -1.239
DOS(E_F) in states/eV per atom: 0.041
Symmetry: P4/mmm
Raw total energy in eV for the cell shown: -77.0
Crystal system: tetragonal

Lattice parameters (Å, degrees): 4.173 4.173 9.318 90.00 90.00 90.00
Positions (direct):
Ac 0.500 0.500 0.727
N 0.000 0.000 0.254
N 0.500 0.500 0.000
N 0.000 0.500 0.500
Ac 0.500 0.500 0.273
N 0.500 0.000 0.500
N 0.000 0.000 0.746
U 0.000 0.000 0.500
Sm 0.000 0.000 0.000

5.
Below is CuRuSe2 after structural relaxation, with properties calculated at the PBE level.

Summary:
Formation energy without anion corrections in eV per atom: 0.023
DOS(E_F) in states/eV per atom: 0.713
Symmetry: Pmm2
Raw total energy in eV for the cell shown: -20.3
Crystal system: orthorhombic

Lattice parameters (Å, degrees): 3.383 3.220 6.784 90.00 90.00 90.00
Positions (direct):
Se 0.000 0.000 0.895
Ru 0.500 0.500 0.737
Cu 0.000 0.000 0.501
Se 0.500 0.500 0.367

6.
Below is Bi3Sb after structural relaxation, with properties calculated at the PBE level.

Summary:
Formation energy without anion corrections in eV per atom: 0.173
DOS(E_F) in states/eV per atom: 1.551
Symmetry: Fm-3m
Raw total energy in eV for the cell shown: -15.1
Excess energy over the best structure of this formula in the dataset in meV per atom: 179
Crystal system: cubic

Lattice parameters (Å, degrees): 5.570 5.570 5.570 60.00 60.00 60.00
Positions (direct):
Bi 0.000 0.000 0.000
Sb 0.500 0.500 0.500
Bi 0.250 0.250 0.250
Bi 0.750 0.750 0.750

> What is the raw total energy in the fourth record?

-77.0 eV for the cell shown

Copy entry 4 word for word.
Below is Ac2SmUN5 after structural relaxation, with properties calculated at the PBE level.

Summary:
Formation energy without anion corrections in eV per atom: -1.239
DOS(E_F) in states/eV per atom: 0.041
Symmetry: P4/mmm
Raw total energy in eV for the cell shown: -77.0
Crystal system: tetragonal

Lattice parameters (Å, degrees): 4.173 4.173 9.318 90.00 90.00 90.00
Positions (direct):
Ac 0.500 0.500 0.727
N 0.000 0.000 0.254
N 0.500 0.500 0.000
N 0.000 0.500 0.500
Ac 0.500 0.500 0.273
N 0.500 0.000 0.500
N 0.000 0.000 0.746
U 0.000 0.000 0.500
Sm 0.000 0.000 0.000

> The lowest raw total energy belongs to which entry?

Ac2SmUN5